Record 1
# NdCd2Ag2 PBE optimized geometry
# Formation energy, meV/atom: -206
# E above lowest polymorph, meV/atom: 20
data_NdCd2Ag2
_space_group_name_H-M_alt 'P -1'
_space_group_IT_number 2
_cell_length_a 6.014
_cell_length_b 6.057
_cell_length_c 6.350
_cell_angle_alpha 88.70
_cell_angle_beta 83.47
_cell_angle_gamma 88.42
loop_
_space_group_symop_operation_xyz
'x,y,z'
'-x,-y,-z'
loop_
_atom_site_label
_atom_site_fract_x
_atom_site_fract_y
_atom_site_fract_z
Nd1 0.172 0.251 0.315
Cd1 0.057 0.754 0.146
Cd2 0.362 0.747 0.458
Ag1 0.340 0.494 0.846
Ag2 0.347 0.994 0.840

Record 2
# NdCd9Ag2 PBE optimized geometry
# Formation energy, meV/atom: -114
# E above lowest polymorph, meV/atom: 31
data_NdCd9Ag2
_space_group_name_H-M_alt 'P 6/m m m'
_space_group_IT_number 191
_space_group_name_Hall '-P 6 2'
_cell_length_a 9.6562
_cell_length_b 9.6562
_cell_length_c 3.3230
_cell_angle_alpha 90.00
_cell_angle_beta 90.00
_cell_angle_gamma 120.00
loop_
_atom_site_label
_atom_site_fract_x
_atom_site_fract_y
_atom_site_fract_z
Nd1 0.0000 0.0000 0.0000
Cd1 0.0000 0.5000 0.0000
Cd2 0.1817 0.3633 0.5000
Ag1 0.3333 0.6667 0.0000

Record 3
# NdCd2Ag8 PBE optimized geometry
# Formation energy, meV/atom: -38
data_NdCd2Ag8
_space_group_name_H-M_alt 'C 1 2/m 1'
_space_group_IT_number 12
_cell_length_a 7.713
_cell_length_b 14.886
_cell_length_c 5.155
_cell_angle_alpha 90.00
_cell_angle_beta 130.00
_cell_angle_gamma 90.00
loop_
_space_group_symop_operation_xyz
'x,y,z'
'-x,-y,-z'
'-x,y,-z'
'x,-y,z'
'x+1/2,y+1/2,z'
'-x+1/2,-y+1/2,-z'
'-x+1/2,y+1/2,-z'
'x+1/2,-y+1/2,z'
loop_
_atom_site_label
_atom_site_fract_x
_atom_site_fract_y
_atom_site_fract_z
Nd1 0.000 0.000 0.000
Cd1 0.000 0.321 0.500
Ag1 0.000 0.205 0.000
Ag2 0.003 0.500 0.252
Ag3 0.230 0.135 0.737

Record 4
# NdCd8Ag4 PBE optimized geometry
# Formation energy, meV/atom: -145
data_NdCd8Ag4
_space_group_name_H-M_alt 'I 4/m m m'
_space_group_IT_number 139
_space_group_name_Hall '-I 4 2'
_cell_length_a 9.990
_cell_length_b 9.990
_cell_length_c 5.610
_cell_angle_alpha 90.00
_cell_angle_beta 90.00
_cell_angle_gamma 90.00
loop_
_atom_site_label
_atom_site_fract_x
_atom_site_fract_y
_atom_site_fract_z
Nd1 0.000 0.000 0.000
Cd1 0.000 0.213 0.500
Cd2 0.000 0.346 0.000
Ag1 0.250 0.250 0.250